Na2MnAsO4, optimized geometry, DFT PBE with a Hubbard U; density = 3.29 g/cm³; DFT total energy = -5.776 eV per atom; symmetry = I-4
1.0
-2.626 2.626 4.384
2.626 -2.626 4.384
2.626 2.626 -4.384
Na Mn As O
2 1 1 4
Cartesian
0.000 0.000 0.000 Na
0.000 2.626 2.192 Na
0.000 0.000 4.384 Mn
2.626 0.000 2.192 As
1.194 1.658 -1.170 O
3.595 1.194 1.170 O
1.432 0.969 3.214 O
-0.969 1.432 5.554 O